Computed, not measured: a relaxed Rb2SrGaTe crystal at the PBE level of DFT.

Cell lengths 6.991, 5.871, 6.991 Å; angles 90.00, 90.00, 90.00 degrees
Fractional positions:
Te (0.000, 0.000, 0.000)
Rb (0.000, 0.000, 0.500)
Rb (0.500, 0.000, 0.000)
Sr (0.500, 0.500, 0.500)
Ga (0.000, 0.500, 0.000)

## Properties
Its raw formation energy is -0.031 eV per atom. The crystal system is tetragonal. As for the space group: P4/mmm. The spin magnetization comes out at 1.0 μB/f.u.

Computed, not measured: a relaxed Sm4TlSb3 crystal at the PBE level of DFT.

Cell lengths 6.329, 6.329, 6.329 Å; angles 90.00, 90.00, 90.00 degrees
Fractional positions:
Sb (0.500, 0.000, 0.500)
Sm (0.500, 0.000, 0.000)
Sm (0.000, 0.000, 0.500)
Tl (0.000, 0.000, 0.000)
Sb (0.000, 0.500, 0.500)
Sm (0.500, 0.500, 0.500)
Sm (0.000, 0.500, 0.000)
Sb (0.500, 0.500, 0.000)

## Properties
Its raw formation energy is -0.893 eV per atom. The crystal system is cubic. As for the space group: Pm-3m. The spin magnetization comes out at 0.0 μB/f.u.

Computed, not measured: a relaxed BaInNi2H8 crystal at the PBE level of DFT.

Cell lengths 4.673, 4.673, 7.082 Å; angles 90.00, 90.00, 120.00 degrees
Fractional positions:
H (0.333, 0.667, 0.887)
H (0.667, 0.333, 0.113)
Ba (0.000, 0.000, 0.000)
Ni (0.667, 0.333, 0.328)
H (0.337, 0.344, 0.318)
H (0.656, 0.993, 0.318)
H (0.663, 0.656, 0.682)
Ni (0.333, 0.667, 0.672)
In (0.000, 0.000, 0.500)
H (0.344, 0.007, 0.682)
H (0.993, 0.337, 0.682)
H (0.007, 0.663, 0.318)

## Properties
The crystal system is trigonal. As for the space group: P-3. As for the total DFT energy (no corrections): -42.46 eV for the cell shown. The spin magnetization comes out at 0.0 μB/f.u.